First-principles (PBE-GGA) data for CrCo7 after structural relaxation, as listed in Alexandria.

a = 4.985 Å, b = 4.985 Å, c = 4.985 Å
α = 60.00°, β = 60.00°, γ = 60.00°
Element x y z (fractional)
Cr  0.000  0.000  0.000
Co  0.000  0.000  0.500
Co  0.000  0.500  0.000
Co  0.000  0.500  0.500
Co  0.500  0.000  0.000
Co  0.500  0.000  0.500
Co  0.500  0.500  0.000
Co  0.500  0.500  0.500

Summary:
ΔH_f (0 K): 0.06 eV per atom
Relative energy among the computed polymorphs: 42 meV per atom
Spin magnetization: 0.955 μB per atom